TmMnCr2O8 PBE with a Hubbard U relaxed; crystal system = tetragonal; electronic total energy = -7.39 eV per atom
1.0
-3.0952 -4.6331 -1.8316
2.3176 -0.4404 5.3699
-3.7314 4.5220 0.1719
Tm Mn Cr O
1 1 2 8
direct
0.2500 0.7500 0.5000
0.0000 0.0000 0.0000
0.7500 0.2500 0.5000
0.5000 0.5000 0.0000
0.3820 0.0712 0.3108
0.3381 0.5260 0.1878
0.3381 0.1503 0.8122
0.7604 0.0712 0.6892
0.8497 0.6619 0.1878
0.9288 0.2396 0.3108
0.9288 0.6180 0.6892
0.4740 0.6619 0.8122